# 1
Below is an optimized crystal structure of CsMnSe2, with properties calculated at the GGA-PBEsol level.

Computed properties:
space group = C2/c
crystal system = monoclinic
density of states at the Fermi level = 1.4 states/eV/f.u.
size of the total moment = 8.1 Bohr magnetons per cell
energy = -5.297 eV per atom
E_form (uncorrected) = -0.70 eV per atom

POSCAR file:
```
CsMnSe2
1.0
3.631 -6.207 0.000
3.631 6.207 0.000
-2.526 0.000 5.583
Cs Mn Se
2 2 4
direct
0.138 0.862 0.750
0.862 0.138 0.250
0.499 0.501 0.250
0.501 0.499 0.750
0.209 0.437 0.914
0.437 0.209 0.414
0.563 0.791 0.586
0.791 0.563 0.086
```

---

# 2
Below is an optimized crystal structure of Cs3MnSi, with properties calculated at the GGA-PBEsol level.

Computed properties:
space group = Pm-3m
crystal system = cubic
density of states at the Fermi level = 10.0 states/eV/f.u.
size of the total moment = 6.0 Bohr magnetons per cell
energy = -2.461 eV per atom
E_form (uncorrected) = 1.21 eV per atom

POSCAR file:
```
Cs3MnSi
1.0
6.482 0.000 0.000
0.000 6.482 0.000
0.000 0.000 6.482
Cs Mn Si
3 1 1
direct
0.000 0.000 0.500
0.000 0.500 0.000
0.500 0.000 0.000
0.000 0.000 0.000
0.500 0.500 0.500
```

---

# 3
Below is an optimized crystal structure of CsMn3Tc, with properties calculated at the GGA-PBEsol level.

Computed properties:
space group = Pm-3m
crystal system = cubic
density of states at the Fermi level = 5.5 states/eV/f.u.
ΔE_f = 69.5 kcal/mol of atoms
size of the total moment = 11.5 Bohr magnetons per cell
energy = -5.287 eV per atom

POSCAR file:
```
CsMn3Tc
1.0
4.671 0.000 0.000
0.000 4.671 0.000
0.000 0.000 4.671
Cs Mn Tc
1 3 1
direct
0.000 0.000 0.000
0.000 0.000 0.500
0.000 0.500 0.000
0.500 0.000 0.000
0.500 0.500 0.500
```

---

# 4
Below is an optimized crystal structure of CsTiMn2, with properties calculated at the GGA-PBEsol level.

Computed properties:
space group = Fm-3m
crystal system = cubic
density of states at the Fermi level = 3.2 states/eV/f.u.
ΔE_f = 33.8 kcal/mol of atoms
size of the total moment = 5.2 Bohr magnetons per cell
energy = -5.732 eV per atom

POSCAR file:
```
CsTiMn2
1.0
0.000 3.423 3.423
3.423 0.000 3.423
3.423 3.423 0.000
Cs Ti Mn
1 1 2
direct
0.000 0.000 0.000
0.500 0.500 0.500
0.250 0.250 0.250
0.750 0.750 0.750
```

---

# 5
Below is an optimized crystal structure of Cs2YMn, with properties calculated at the GGA-PBEsol level.

Computed properties:
space group = Fm-3m
crystal system = cubic
density of states at the Fermi level = 3.8 states/eV/f.u.
ΔE_f = 29.9 kcal/mol of atoms
size of the total moment = 2.2 Bohr magnetons per cell
energy = -3.319 eV per atom

POSCAR file:
```
Cs2YMn
1.0
0.000 4.401 4.401
4.401 0.000 4.401
4.401 4.401 0.000
Cs Y Mn
2 1 1
direct
0.250 0.250 0.250
0.750 0.750 0.750
0.000 0.000 0.000
0.500 0.500 0.500
```

---

# 6
Below is an optimized crystal structure of Cs3ZrMn, with properties calculated at the GGA-PBEsol level.

Computed properties:
space group = Pm-3m
crystal system = cubic
density of states at the Fermi level = 16.9 states/eV/f.u.
ΔE_f = 38.6 kcal/mol of atoms
size of the total moment = 8.0 Bohr magnetons per cell
energy = -2.662 eV per atom

POSCAR file:
```
Cs3ZrMn
1.0
6.596 0.000 0.000
0.000 6.596 0.000
0.000 0.000 6.596
Cs Zr Mn
3 1 1
direct
0.000 0.000 0.500
0.000 0.500 0.000
0.500 0.000 0.000
0.500 0.500 0.500
0.000 0.000 0.000
```

---

# 7
Below is an optimized crystal structure of CsZr3Mn, with properties calculated at the GGA-PBEsol level.

Computed properties:
space group = Pm-3m
crystal system = cubic
density of states at the Fermi level = 8.2 states/eV/f.u.
ΔE_f = 49.4 kcal/mol of atoms
size of the total moment = 3.3 Bohr magnetons per cell
energy = -5.453 eV per atom

POSCAR file:
```
CsZr3Mn
1.0
5.156 0.000 0.000
0.000 5.156 0.000
0.000 0.000 5.156
Cs Zr Mn
1 3 1
direct
0.000 0.000 0.000
0.000 0.000 0.500
0.000 0.500 0.000
0.500 0.000 0.000
0.500 0.500 0.500
```

---

# 8
Below is an optimized crystal structure of Cs2NaMo, with properties calculated at the GGA-PBEsol level.

Computed properties:
space group = Fm-3m
crystal system = cubic
density of states at the Fermi level = 0.9 states/eV/f.u.
ΔE_f = 30.6 kcal/mol of atoms
size of the total moment = 5.0 Bohr magnetons per cell
energy = -2.438 eV per atom

POSCAR file:
```
Cs2NaMo
1.0
0.000 4.655 4.655
4.655 0.000 4.655
4.655 4.655 0.000
Cs Na Mo
2 1 1
direct
0.250 0.250 0.250
0.750 0.750 0.750
0.000 0.000 0.000
0.500 0.500 0.500
```

---

# 9
Below is an optimized crystal structure of Cs3NbMo, with properties calculated at the GGA-PBEsol level.

Computed properties:
space group = Pm-3m
crystal system = cubic
density of states at the Fermi level = 3.0 states/eV/f.u.
ΔE_f = 51.3 kcal/mol of atoms
energy above the most stable polymorph in this dataset = 0.0000 eV per atom
size of the total moment = 10.2 Bohr magnetons per cell
energy = -2.860 eV per atom

POSCAR file:
```
Cs3NbMo
1.0
6.934 0.000 0.000
0.000 6.934 0.000
0.000 0.000 6.934
Cs Nb Mo
3 1 1
direct
0.000 0.000 0.500
0.000 0.500 0.000
0.500 0.000 0.000
0.000 0.000 0.000
0.500 0.500 0.500
```

---

# 10
Below is an optimized crystal structure of Cs2NiMo, with properties calculated at the GGA-PBEsol level.

Computed properties:
space group = Fm-3m
crystal system = cubic
density of states at the Fermi level = 9.4 states/eV/f.u.
ΔE_f = 44.8 kcal/mol of atoms
size of the total moment = 6.0 Bohr magnetons per cell
energy = -3.008 eV per atom

POSCAR file:
```
Cs2NiMo
1.0
0.000 4.129 4.129
4.129 0.000 4.129
4.129 4.129 0.000
Cs Ni Mo
2 1 1
direct
0.250 0.250 0.250
0.750 0.750 0.750
0.000 0.000 0.000
0.500 0.500 0.500
```

---

# 11
Below is an optimized crystal structure of CsZrNi2Mo, with properties calculated at the GGA-PBEsol level.

Computed properties:
space group = P4/mmm
crystal system = tetragonal
density of states at the Fermi level = 5.8 states/eV/f.u.
ΔE_f = 39.6 kcal/mol of atoms
size of the total moment = 0.0 Bohr magnetons per cell
energy = -5.106 eV per atom

POSCAR file:
```
CsZrNi2Mo
1.0
4.499 0.000 0.000
0.000 4.499 0.000
0.000 0.000 5.190
Cs Zr Ni Mo
1 1 2 1
direct
0.000 0.000 0.000
0.500 0.500 0.000
0.000 0.500 0.500
0.500 0.000 0.500
0.000 0.000 0.500
```

---

# 12
Below is an optimized crystal structure of Cs2Mo3O10, with properties calculated at the GGA-PBEsol level.

Computed properties:
space group = C2/c
crystal system = monoclinic
density of states at the Fermi level = 0.0 states/eV/f.u.
size of the total moment = 0.0 Bohr magnetons per cell
energy = -8.065 eV per atom
E_form (uncorrected) = -2.09 eV per atom

POSCAR file:
```
Cs2Mo3O10
1.0
7.262 -4.225 0.000
7.262 4.225 0.000
-1.179 0.000 9.328
Cs Mo O
4 6 20
direct
0.101 0.258 0.162
0.258 0.101 0.662
0.742 0.899 0.338
0.899 0.742 0.838
0.230 0.770 0.250
0.327 0.462 0.476
0.462 0.327 0.976
0.538 0.673 0.024
0.673 0.538 0.524
0.770 0.230 0.750
0.054 0.848 0.120
0.152 0.946 0.380
0.173 0.545 0.606
0.173 0.595 0.318
0.243 0.369 0.922
0.369 0.243 0.422
0.405 0.548 0.096
0.405 0.827 0.182
0.452 0.595 0.404
0.455 0.827 0.894
0.545 0.173 0.106
0.548 0.405 0.596
0.595 0.173 0.818
0.595 0.452 0.904
0.631 0.757 0.578
0.757 0.631 0.078
0.827 0.405 0.682
0.827 0.455 0.394
0.848 0.054 0.620
0.946 0.152 0.880
```